# Y2Rh3

An optimized crystal structure of Y2Rh3 (PBE, Alexandria).

extended XYZ file:
```
5
Lattice="2.221 1.283 5.893 -2.221 1.283 5.893 0.000 -2.565 5.893" Properties=species:S:1:pos:R:3 pbc="T T T"
Y 0.000 0.000 1.684
Y 0.000 0.000 15.995
Rh 0.000 0.000 5.953
Rh 0.000 0.000 8.840
Rh 0.000 0.000 11.726
```


8
Lattice="3.771 -5.246 0.000 3.771 5.246 0.000 0.000 0.000 4.698" Properties=species:S:1:pos:R:3 comment="Y5Rh3 | Alexandria | PBE | relaxed" de_polymorph_mev_per_atom=200.5 pbc="T T T"
Y 0.000 0.000 0.000
Y 1.886 2.623 0.000
Y 2.169 0.000 2.349
Y 1.886 -2.623 0.000
Y 5.373 0.000 2.349
Rh 3.771 3.224 2.349
Rh 3.771 0.000 0.000
Rh 3.771 -3.224 2.349


# YRh2

An optimized crystal structure of YRh2 (PBE, Alexandria).

extended XYZ file:
```
12
Lattice="5.739 0.000 0.000 0.000 4.265 0.000 0.000 0.000 8.776" Properties=species:S:1:pos:R:3 pbc="T T T"
Y 0.886 1.066 0.931
Y 1.983 3.199 5.318
Y 3.756 1.066 3.457
Y 4.853 3.199 7.845
Rh 0.559 1.066 6.539
Rh 0.789 1.066 3.746
Rh 2.080 3.199 8.134
Rh 2.310 3.199 2.151
Rh 3.429 1.066 6.625
Rh 3.659 1.066 0.642
Rh 4.949 3.199 5.030
Rh 5.179 3.199 2.237
```


# YRh

An optimized crystal structure of YRh (PBE, Alexandria).

extended XYZ file:
```
8
Lattice="-4.503 4.503 2.174 4.503 -4.503 2.174 4.503 4.503 -2.174" Properties=species:S:1:pos:R:3 pbc="T T T"
Y 2.459 0.000 0.000
Y 6.547 0.000 0.000
Y 0.000 2.459 0.000
Y 0.000 6.547 0.000
Rh 3.039 3.039 0.000
Rh 1.464 -1.464 2.174
Rh -1.464 1.464 2.174
Rh 1.464 1.464 2.174
```


# YRh3

An optimized crystal structure of YRh3 (PBE, Alexandria).

extended XYZ file:
```
4
Lattice="3.402 0.000 0.000 0.000 3.402 0.000 0.000 0.000 5.957" Properties=species:S:1:pos:R:3 pbc="T T T"
Y 0.000 0.000 0.000
Rh 0.000 0.000 2.979
Rh 1.701 1.701 1.663
Rh 1.701 1.701 4.294
```


# YRh

An optimized crystal structure of YRh (PBE, Alexandria).

extended XYZ file:
```
4
Lattice="3.913 0.000 0.000 0.000 3.913 0.000 0.000 0.000 5.764" Properties=species:S:1:pos:R:3 pbc="T T T"
Y 0.978 0.978 1.173
Y 2.934 2.934 4.591
Rh 0.978 0.978 3.996
Rh 2.934 2.934 1.768
```


no.,formation energy from the elements (eV per atom),calculated volume (A^3/atom)
1,-0.61,20.147
2,-0.52,23.234
3,-0.53,17.901
4,-0.59,22.039
5,-0.24,17.232
6,-0.57,22.059